(1)
Here is a relaxed La6SmHo4 crystal from the Alexandria database. Energies are from PBE-GGA.

abc: 7.057 7.057 9.332
angles: 112.22 112.22 90.00
Atoms (fractional coordinates):
La  0.876  0.486  0.362
La  0.486  0.876  0.362
La  0.514  0.514  0.638
La  0.000  0.500  0.000
La  0.124  0.124  0.638
La  0.500  0.000  0.000
Sm  0.500  0.500  0.000
Ho  0.065  0.733  0.798
Ho  0.935  0.935  0.202
Ho  0.733  0.065  0.798
Ho  0.267  0.267  0.202

Properties
energy above the most stable polymorph in this dataset	182.7	meV/atom
SG	I-42m (121)
total magnetization	0.00	μB per atom
formation enthalpy at 0 K	0.28	eV/atom
V	35.7	Å³/atom

(2)
Here is a relaxed TiRu2PtAu crystal from the Alexandria database. Energies are from PBE-GGA.

abc: 4.749 4.652 4.749
angles: 90.00 90.00 90.00
Atoms (fractional coordinates):
Ru  0.000  0.000  0.500
Ru  0.500  0.000  0.000
Au  0.500  0.500  0.500
Pt  0.000  0.000  0.000
Ti  0.000  0.500  0.000

Properties
SG	P4/mmm (123)
total magnetization	0.00	μB per atom
formation enthalpy at 0 K	1.25	eV/atom
V	21.0	Å³/atom